1.
PBE-GGA NaHfGa, optimized geometry; raw total energy = -0.180 hartree per atom; energy of formation from the pure elements = -0.13 eV/atom; space group = Pmmn
1.0
3.1718 0.0000 0.0000
0.0000 4.0363 0.0000
0.0000 0.0000 11.4382
Na Hf Ga
2 2 2
Direct
0.2500 0.2500 0.1313
0.7500 0.7500 0.8687
0.2500 0.2500 0.4217
0.7500 0.7500 0.5783
0.2500 0.2500 0.6863
0.7500 0.7500 0.3137



2.
PBE-GGA NaHf2Ga2, optimized geometry; raw total energy = -0.206 hartree per atom; energy of formation from the pure elements = -0.14 eV/atom; space group = P4/mbm
1.0
8.3816 0.0000 0.0000
0.0000 8.3816 0.0000
0.0000 0.0000 2.9922
Na Hf Ga
2 4 4
Direct
0.0000 0.0000 0.0000
0.5000 0.5000 0.0000
0.1310 0.3690 0.5000
0.3690 0.8690 0.5000
0.6310 0.1310 0.5000
0.8690 0.6310 0.5000
0.1658 0.6658 0.0000
0.3342 0.1658 0.0000
0.6658 0.8342 0.0000
0.8342 0.3342 0.0000



3.
PBE-GGA NaHfGa, optimized geometry; raw total energy = -0.175 hartree per atom; energy of formation from the pure elements = 0.01 eV/atom; space group = C2/m
1.0
10.7226 0.0000 0.0000
0.0000 3.2008 0.0000
-4.5113 0.0000 7.7069
Na Hf Ga
4 4 4
Direct
0.1438 0.0000 0.0345
0.3562 0.5000 0.9655
0.6438 0.5000 0.0345
0.8562 0.0000 0.9655
0.1141 0.5000 0.3850
0.3859 0.0000 0.6150
0.6141 0.0000 0.3850
0.8859 0.5000 0.6150
0.1318 0.0000 0.6615
0.3682 0.5000 0.3385
0.6318 0.5000 0.6615
0.8682 0.0000 0.3385